Record 1
First-principles (PBE-GGA) data for a relaxed TaTi2OsN crystal, as listed in Alexandria via LeMat-Bulk.

Values from the calculation:
energy relative to the elements, uncorrected: -0.75 eV/atom

a b c (Å): 4.056 4.056 4.279
angles (deg): 90.00 90.00 90.00
Positions (direct):
Ta1 0.000 0.000 0.000
Ti1 0.000 0.500 0.500
Ti2 0.500 0.000 0.500
Os1 0.500 0.500 0.000
N1 0.000 0.000 0.500

Record 2
First-principles (PBE-GGA) data for a relaxed LiUPt2 crystal, as listed in Alexandria via LeMat-Bulk.

Values from the calculation:
DFT formation energy: -566 meV per atom

a b c (Å): 4.682 4.682 3.330
angles (deg): 90.00 90.00 90.00
Positions (direct):
Li1 0.000 0.000 0.000
U1 0.500 0.500 0.000
Pt1 0.000 0.500 0.500
Pt2 0.500 0.000 0.500

Record 3
First-principles (PBE-GGA) data for a relaxed SrNi2Mo crystal, as listed in Alexandria via LeMat-Bulk.

Values from the calculation:
energy above the most stable polymorph in this dataset: 318.7 meV per atom
DFT formation energy: 484 meV per atom

a b c (Å): 2.852 3.486 7.158
angles (deg): 90.00 90.00 90.00
Positions (direct):
Sr1 0.000 0.000 0.000
Ni1 0.000 0.000 0.534
Ni2 0.500 0.500 0.701
Mo1 0.500 0.500 0.365

Record 4
First-principles (PBE-GGA) data for a relaxed PrTh2Fe9 crystal, as listed in Alexandria via LeMat-Bulk.

Values from the calculation:
DFT formation energy: -17 meV per atom

a b c (Å): 8.779 8.779 8.779
angles (deg): 34.32 34.32 34.32
Positions (direct):
Pr1 0.000 0.000 0.000
Th1 0.141 0.141 0.141
Th2 0.859 0.859 0.859
Fe1 0.083 0.581 0.581
Fe2 0.333 0.333 0.333
Fe3 0.419 0.419 0.917
Fe4 0.419 0.917 0.419
Fe5 0.500 0.500 0.500
Fe6 0.581 0.083 0.581
Fe7 0.581 0.581 0.083
Fe8 0.667 0.667 0.667
Fe9 0.917 0.419 0.419

Record 5
First-principles (PBE-GGA) data for a relaxed Mo3PtCl crystal, as listed in Alexandria via LeMat-Bulk.

Values from the calculation:
energy above the most stable polymorph in this dataset: 989.9 meV per atom
energy relative to the elements, uncorrected: 1.92 eV/atom

a b c (Å): 4.892 4.892 4.892
angles (deg): 90.00 90.00 90.00
Positions (direct):
Mo1 0.000 0.000 0.500
Mo2 0.000 0.500 0.000
Mo3 0.500 0.000 0.000
Pt1 0.000 0.000 0.000
Cl1 0.500 0.500 0.500

Record 6
First-principles (PBE-GGA) data for a relaxed ErTlC crystal, as listed in Alexandria via LeMat-Bulk.

Values from the calculation:
DFT formation energy: -65 meV per atom

a b c (Å): 3.893 5.574 6.360
angles (deg): 80.60 77.12 85.99
Positions (direct):
Er1 0.055 0.247 0.206
Er2 0.945 0.753 0.794
Tl1 0.422 0.238 0.661
Tl2 0.578 0.762 0.339
C1 0.385 0.560 0.945
C2 0.615 0.440 0.055

Record 7
First-principles (PBE-GGA) data for a relaxed Rb4Pu6F19 crystal, as listed in Alexandria via LeMat-Bulk.

Values from the calculation:
energy relative to the elements, uncorrected: -3.22 eV/atom

a b c (Å): 9.557 9.557 9.557
angles (deg): 109.47 109.47 109.47
Positions (direct):
Rb1 0.000 0.000 0.279
Rb2 0.000 0.279 0.000
Rb3 0.279 0.000 0.000
Rb4 0.721 0.721 0.721
Pu1 0.172 0.500 0.672
Pu2 0.328 0.828 0.500
Pu3 0.500 0.328 0.828
Pu4 0.500 0.672 0.172
Pu5 0.672 0.172 0.500
Pu6 0.828 0.500 0.328
F1 0.000 0.000 0.000
F2 0.000 0.368 0.368
F3 0.000 0.632 0.632
F4 0.036 0.748 0.362
F5 0.252 0.288 0.614
F6 0.288 0.614 0.252
F7 0.326 0.712 0.964
F8 0.362 0.036 0.748
F9 0.368 0.000 0.368
F10 0.368 0.368 0.000
F11 0.386 0.674 0.638
F12 0.614 0.252 0.288
F13 0.632 0.000 0.632
F14 0.632 0.632 0.000
F15 0.638 0.386 0.674
F16 0.674 0.638 0.386
F17 0.712 0.964 0.326
F18 0.748 0.362 0.036
F19 0.964 0.326 0.712

Record 8
First-principles (PBE-GGA) data for a relaxed AcTbSnBi crystal, as listed in Alexandria via LeMat-Bulk.

Values from the calculation:
DFT formation energy: -569 meV per atom

a b c (Å): 5.672 5.672 5.672
angles (deg): 60.00 60.00 60.00
Positions (direct):
Ac1 0.000 0.000 0.000
Tb1 0.500 0.500 0.500
Sn1 0.750 0.750 0.750
Bi1 0.250 0.250 0.250

Record 9
First-principles (PBE-GGA) data for a relaxed Na2SrNpO4 crystal, as listed in Alexandria via LeMat-Bulk.

Values from the calculation:
energy relative to the elements, uncorrected: -2.38 eV/atom

a b c (Å): 6.010 3.533 6.237
angles (deg): 90.00 111.25 90.00
Positions (direct):
Na1 0.000 0.000 0.000
Na2 0.000 0.500 0.500
Sr1 0.500 0.000 0.500
Np1 0.500 0.500 0.000
O1 0.278 0.000 0.776
O2 0.290 0.500 0.216
O3 0.710 0.500 0.784
O4 0.722 0.000 0.224

Record 10
First-principles (PBE-GGA) data for a relaxed CsNa2ZnPb crystal, as listed in Alexandria via LeMat-Bulk.

Values from the calculation:
energy above the most stable polymorph in this dataset: 0.0 meV per atom
DFT formation energy: 16 meV per atom

a b c (Å): 6.139 6.139 5.648
angles (deg): 90.00 90.00 90.00
Positions (direct):
Cs1 0.000 0.000 0.000
Na1 0.000 0.500 0.500
Na2 0.500 0.000 0.500
Zn1 0.500 0.500 0.000
Pb1 0.500 0.500 0.500

Record 11
First-principles (PBE-GGA) data for a relaxed PmSm4Dy10 crystal, as listed in Alexandria via LeMat-Bulk.

Values from the calculation:
DFT formation energy: 750 meV per atom

a b c (Å): 9.457 9.457 9.457
angles (deg): 99.61 99.61 131.76
Positions (direct):
Pm1 0.000 0.000 0.000
Sm1 0.201 0.601 0.801
Sm2 0.399 0.201 0.600
Sm3 0.601 0.799 0.400
Sm4 0.799 0.399 0.199
Dy1 0.050 0.151 0.700
Dy2 0.151 0.451 0.101
Dy3 0.250 0.750 0.500
Dy4 0.350 0.050 0.899
Dy5 0.451 0.350 0.300
Dy6 0.549 0.650 0.700
Dy7 0.650 0.950 0.101
Dy8 0.750 0.250 0.500
Dy9 0.849 0.549 0.899
Dy10 0.950 0.849 0.300

Record 12
First-principles (PBE-GGA) data for a relaxed SbAsCl crystal, as listed in Alexandria via LeMat-Bulk.

Values from the calculation:
energy above the most stable polymorph in this dataset: 182.5 meV per atom
energy relative to the elements, uncorrected: 0.01 eV/atom

a b c (Å): 4.843 4.843 4.843
angles (deg): 60.00 60.00 60.00
Positions (direct):
Sb1 0.000 0.000 0.000
As1 0.250 0.250 0.250
Cl1 0.750 0.750 0.750

Record 13
First-principles (PBE-GGA) data for a relaxed NaAc8Ir5 crystal, as listed in Alexandria via LeMat-Bulk.

Values from the calculation:
DFT formation energy: -557 meV per atom

a b c (Å): 11.596 11.596 10.530
angles (deg): 103.64 103.64 21.99
Positions (direct):
Na1 0.000 0.000 0.000
Ac1 0.073 0.073 0.655
Ac2 0.260 0.260 0.342
Ac3 0.323 0.323 0.009
Ac4 0.406 0.406 0.655
Ac5 0.594 0.594 0.345
Ac6 0.677 0.677 0.991
Ac7 0.740 0.740 0.658
Ac8 0.927 0.927 0.345
Ir1 0.164 0.164 0.496
Ir2 0.201 0.201 0.822
Ir3 0.500 0.500 0.500
Ir4 0.799 0.799 0.178
Ir5 0.836 0.836 0.504

Record 14
First-principles (PBE-GGA) data for a relaxed PmBeGaRh3 crystal, as listed in Alexandria via LeMat-Bulk.

Values from the calculation:
DFT formation energy: -498 meV per atom

a b c (Å): 6.616 6.616 5.850
angles (deg): 90.00 90.00 127.54
Positions (direct):
Pm1 0.220 0.780 0.750
Pm2 0.780 0.220 0.250
Be1 0.469 0.531 0.750
Be2 0.531 0.469 0.250
Ga1 0.133 0.867 0.250
Ga2 0.867 0.133 0.750
Rh1 0.235 0.235 0.000
Rh2 0.235 0.235 0.500
Rh3 0.336 0.664 0.250
Rh4 0.664 0.336 0.750
Rh5 0.765 0.765 0.000
Rh6 0.765 0.765 0.500

Record 15
First-principles (PBE-GGA) data for a relaxed Nd5SmPb4 crystal, as listed in Alexandria via LeMat-Bulk.

Values from the calculation:
DFT formation energy: -388 meV per atom

a b c (Å): 8.854 8.854 7.367
angles (deg): 90.21 90.21 36.48
Positions (direct):
Nd1 0.000 0.000 0.000
Nd2 0.333 0.333 0.492
Nd3 0.334 0.334 0.006
Nd4 0.666 0.666 0.994
Nd5 0.667 0.667 0.508
Sm1 0.000 0.000 0.500
Pb1 0.175 0.175 0.749
Pb2 0.491 0.491 0.748
Pb3 0.509 0.509 0.252
Pb4 0.825 0.825 0.251

Record 16
First-principles (PBE-GGA) data for a relaxed NbIn2CuW crystal, as listed in Alexandria via LeMat-Bulk.

Values from the calculation:
DFT formation energy: 1192 meV per atom

a b c (Å): 4.637 4.637 4.807
angles (deg): 90.00 90.00 90.00
Positions (direct):
Nb1 0.000 0.000 0.000
In1 0.000 0.500 0.500
In2 0.500 0.000 0.500
Cu1 0.500 0.500 0.500
W1 0.500 0.500 0.000

Record 17
First-principles (PBE-GGA) data for a relaxed Sr3AlGa crystal, as listed in Alexandria via LeMat-Bulk.

Values from the calculation:
energy above the most stable polymorph in this dataset: 0.0 meV per atom
DFT formation energy: -190 meV per atom

a b c (Å): 4.386 10.232 8.220
angles (deg): 90.00 90.08 90.00
Positions (direct):
Sr1 0.246 0.250 0.459
Sr2 0.253 0.545 0.189
Sr3 0.253 0.955 0.189
Sr4 0.747 0.045 0.811
Sr5 0.747 0.455 0.811
Sr6 0.754 0.750 0.541
Al1 0.247 0.250 0.994
Al2 0.753 0.750 0.006
Ga1 0.252 0.750 0.840
Ga2 0.748 0.250 0.160

Record 18
First-principles (PBE-GGA) data for a relaxed SrZrTeI2 crystal, as listed in Alexandria via LeMat-Bulk.

Values from the calculation:
energy above the most stable polymorph in this dataset: 0.0 meV per atom
energy relative to the elements, uncorrected: -0.72 eV/atom

a b c (Å): 5.709 5.709 5.755
angles (deg): 90.00 90.00 90.00
Positions (direct):
Sr1 0.000 0.000 0.000
Zr1 0.500 0.500 0.500
Te1 0.500 0.500 0.000
I1 0.000 0.500 0.500
I2 0.500 0.000 0.500

Record 19
First-principles (PBE-GGA) data for a relaxed LiZrB2 crystal, as listed in Alexandria via LeMat-Bulk.

Values from the calculation:
energy above the most stable polymorph in this dataset: 0.0 meV per atom
DFT formation energy: 231 meV per atom

a b c (Å): 7.324 7.324 7.324
angles (deg): 151.36 151.36 40.95
Positions (direct):
Li1 0.375 0.625 0.750
Li2 0.625 0.375 0.250
Zr1 0.125 0.875 0.250
Zr2 0.875 0.125 0.750
B1 0.000 0.500 0.500
B2 0.500 0.000 0.000
B3 0.500 0.500 0.000
B4 0.500 0.500 0.500

Record 20
First-principles (PBE-GGA) data for a relaxed RbNd2HgTe4 crystal, as listed in Alexandria via LeMat-Bulk.

Values from the calculation:
energy relative to the elements, uncorrected: -1.04 eV/atom

a b c (Å): 8.124 8.124 16.597
angles (deg): 90.00 90.00 146.88
Positions (direct):
Rb1 0.132 0.868 0.750
Rb2 0.868 0.132 0.250
Nd1 0.375 0.625 0.564
Nd2 0.375 0.625 0.936
Nd3 0.625 0.375 0.064
Nd4 0.625 0.375 0.436
Hg1 0.165 0.835 0.250
Hg2 0.835 0.165 0.750
Te1 0.000 0.000 0.000
Te2 0.000 0.000 0.500
Te3 0.264 0.736 0.100
Te4 0.264 0.736 0.400
Te5 0.450 0.550 0.750
Te6 0.550 0.450 0.250
Te7 0.736 0.264 0.600
Te8 0.736 0.264 0.900

Record 21
First-principles (PBE-GGA) data for a relaxed BaTlN2 crystal, as listed in Alexandria via LeMat-Bulk.

Values from the calculation:
energy above the most stable polymorph in this dataset: 713.6 meV per atom
energy relative to the elements, uncorrected: 1.21 eV/atom

a b c (Å): 7.502 7.502 7.502
angles (deg): 29.16 29.16 29.16
Positions (direct):
Ba1 0.000 0.000 0.000
Tl1 0.500 0.500 0.500
N1 0.117 0.117 0.117
N2 0.883 0.883 0.883

Record 22
First-principles (PBE-GGA) data for a relaxed Pa5Tc4Sn crystal, as listed in Alexandria via LeMat-Bulk.

Values from the calculation:
DFT formation energy: -211 meV per atom

a b c (Å): 3.337 3.337 19.184
angles (deg): 90.00 90.00 90.00
Positions (direct):
Pa1 0.000 0.000 0.000
Pa2 0.000 0.000 0.187
Pa3 0.000 0.000 0.373
Pa4 0.000 0.000 0.627
Pa5 0.000 0.000 0.813
Tc1 0.500 0.500 0.097
Tc2 0.500 0.500 0.281
Tc3 0.500 0.500 0.719
Tc4 0.500 0.500 0.903
Sn1 0.500 0.500 0.500

Record 23
First-principles (PBE-GGA) data for a relaxed Na3CeY2O6 crystal, as listed in Alexandria via LeMat-Bulk.

Values from the calculation:
energy relative to the elements, uncorrected: -2.71 eV/atom

a b c (Å): 6.044 6.044 5.961
angles (deg): 99.71 99.71 120.02
Positions (direct):
Na1 0.000 0.000 0.000
Na2 0.330 0.670 0.000
Na3 0.670 0.330 0.000
Ce1 0.500 0.500 0.500
Y1 0.167 0.833 0.500
Y2 0.833 0.167 0.500
O1 0.087 0.429 0.287
O2 0.229 0.229 0.713
O3 0.429 0.087 0.287
O4 0.571 0.913 0.713
O5 0.771 0.771 0.287
O6 0.913 0.571 0.713

We obtain density values of 11.3; 14.4; 7.0; 9.6; 7.4; 9.6; 5.4; 9.2; 5.8; 3.5; 6.8; 4.8; 9.0; 8.7; 8.2; 9.2; 3.2; 5.0; 4.4; 6.0; 6.9; 12.9; 4.5 g cm⁻³ for the records listed above, in that order.
We obtain DFT total energy values of -10.19; -6.89; -5.54; -8.00; -6.16; -5.45; -7.54; -4.72; -7.02; -1.68; -3.89; -3.53; -6.16; -6.09; -4.73; -5.33; -2.55; -4.02; -5.72; -3.96; -4.02; -9.51; -7.09 eV/atom for the records listed above, in that order.